(1)
# PBE-GGA BiAs3Au, relaxed
data_BiAs3Au
_symmetry_space_group_name_H-M 'P 1'
_symmetry_Int_Tables_number 1
_symmetry_space_group_name_Hall 'P 1'
_cell_length_a 5.0652
_cell_length_b 5.0652
_cell_length_c 5.0652
_cell_angle_alpha 90.00
_cell_angle_beta 90.00
_cell_angle_gamma 90.00
loop_
_atom_site_label
_atom_site_type_symbol
_atom_site_fract_x
_atom_site_fract_y
_atom_site_fract_z
Bi1 Bi 0.0000 0.0000 0.0000
As1 As 0.0000 0.5000 0.5000
As2 As 0.5000 0.0000 0.5000
As3 As 0.5000 0.5000 0.0000
Au1 Au 0.5000 0.5000 0.5000
# Space group = No. 221
# Formation enthalpy at 0 K = 0.67 eV/atom
# Energy above the lowest structure with this stoichiometry = 0.0 meV per atom


(2)
# PBE-GGA Tl2CoP, relaxed
data_Tl2CoP
_symmetry_space_group_name_H-M 'P 1'
_symmetry_Int_Tables_number 1
_symmetry_space_group_name_Hall 'P 1'
_cell_length_a 5.3573
_cell_length_b 5.3573
_cell_length_c 5.3573
_cell_angle_alpha 132.65
_cell_angle_beta 132.65
_cell_angle_gamma 69.21
loop_
_atom_site_label
_atom_site_type_symbol
_atom_site_fract_x
_atom_site_fract_y
_atom_site_fract_z
Tl1 Tl 0.0000 0.0000 0.0000
Tl2 Tl 0.7500 0.2500 0.5000
Co1 Co 0.2500 0.7500 0.5000
P1 P 0.5000 0.5000 0.0000
# Space group = No. 119
# Formation enthalpy at 0 K = 0.73 eV/atom
# Energy above the lowest structure with this stoichiometry = 671.0 meV per atom


(3)
# PBE-GGA Pr8Ru2Rh, relaxed
data_Pr8Ru2Rh
_symmetry_space_group_name_H-M 'P 1'
_symmetry_Int_Tables_number 1
_symmetry_space_group_name_Hall 'P 1'
_cell_length_a 7.7727
_cell_length_b 7.7727
_cell_length_c 6.4033
_cell_angle_alpha 101.11
_cell_angle_beta 101.11
_cell_angle_gamma 114.18
loop_
_atom_site_label
_atom_site_type_symbol
_atom_site_fract_x
_atom_site_fract_y
_atom_site_fract_z
Pr1 Pr 0.0000 0.0000 0.0000
Pr2 Pr 0.0106 0.2747 0.5933
Pr3 Pr 0.1527 0.5690 0.1905
Pr4 Pr 0.2747 0.0106 0.5933
Pr5 Pr 0.4398 0.7024 0.8015
Pr6 Pr 0.5690 0.1527 0.1905
Pr7 Pr 0.7024 0.4398 0.8015
Pr8 Pr 0.7126 0.7126 0.3804
Ru1 Ru 0.0444 0.6621 0.6930
Ru2 Ru 0.6621 0.0444 0.6930
Rh1 Rh 0.3536 0.3536 0.0293
# Space group = No. 8
# Formation enthalpy at 0 K = -0.16 eV/atom
# Energy above the lowest structure with this stoichiometry = 19.8 meV per atom


(4)
# PBE-GGA MgMoPb, relaxed
data_MgMoPb
_symmetry_space_group_name_H-M 'P 1'
_symmetry_Int_Tables_number 1
_symmetry_space_group_name_Hall 'P 1'
_cell_length_a 5.4610
_cell_length_b 5.4610
_cell_length_c 5.4610
_cell_angle_alpha 146.38
_cell_angle_beta 138.03
_cell_angle_gamma 54.82
loop_
_atom_site_label
_atom_site_type_symbol
_atom_site_fract_x
_atom_site_fract_y
_atom_site_fract_z
Mg1 Mg 0.0000 0.0000 0.0000
Mo1 Mo 0.6489 0.6489 0.0000
Pb1 Pb 0.3178 0.3178 0.0000
# Space group = No. 44
# Formation enthalpy at 0 K = 0.52 eV/atom
# Energy above the lowest structure with this stoichiometry = 16.5 meV per atom


(5)
# PBE-GGA CaSm3Y2Se6, relaxed
data_CaSm3Y2Se6
_symmetry_space_group_name_H-M 'P 1'
_symmetry_Int_Tables_number 1
_symmetry_space_group_name_Hall 'P 1'
_cell_length_a 7.1543
_cell_length_b 7.1543
_cell_length_c 7.2210
_cell_angle_alpha 99.45
_cell_angle_beta 99.45
_cell_angle_gamma 120.07
loop_
_atom_site_label
_atom_site_type_symbol
_atom_site_fract_x
_atom_site_fract_y
_atom_site_fract_z
Ca1 Ca 0.0000 0.0000 0.0000
Sm1 Sm 0.1651 0.8349 0.5000
Sm2 Sm 0.5000 0.5000 0.5000
Sm3 Sm 0.8349 0.1651 0.5000
Y1 Y 0.3328 0.6672 0.0000
Y2 Y 0.6672 0.3328 0.0000
Se1 Se 0.0812 0.4150 0.2437
Se2 Se 0.2536 0.2536 0.7601
Se3 Se 0.4150 0.0812 0.2437
Se4 Se 0.5850 0.9188 0.7563
Se5 Se 0.7464 0.7464 0.2399
Se6 Se 0.9188 0.5850 0.7563
# Space group = No. 12
# E_form (uncorrected) = -1827 meV/atom


(6)
# PBE-GGA La4SiIBr2, relaxed
data_La4SiIBr2
_symmetry_space_group_name_H-M 'P 1'
_symmetry_Int_Tables_number 1
_symmetry_space_group_name_Hall 'P 1'
_cell_length_a 7.4377
_cell_length_b 4.3950
_cell_length_c 8.0340
_cell_angle_alpha 90.00
_cell_angle_beta 108.97
_cell_angle_gamma 90.00
loop_
_atom_site_label
_atom_site_type_symbol
_atom_site_fract_x
_atom_site_fract_y
_atom_site_fract_z
La1 La 0.2312 0.0000 0.2125
La2 La 0.2523 0.5000 0.7852
La3 La 0.7477 0.5000 0.2148
La4 La 0.7688 0.0000 0.7875
Si1 Si 0.0000 0.5000 0.0000
I1 I 0.0000 0.0000 0.5000
Br1 Br 0.5000 0.0000 0.0000
Br2 Br 0.5000 0.5000 0.5000
# Space group = No. 10
# E_form (uncorrected) = -1153 meV/atom


(7)
# PBE-GGA Sc2CoHRu, relaxed
data_Sc2CoHRu
_symmetry_space_group_name_H-M 'P 1'
_symmetry_Int_Tables_number 1
_symmetry_space_group_name_Hall 'P 1'
_cell_length_a 4.4544
_cell_length_b 4.4544
_cell_length_c 3.4194
_cell_angle_alpha 90.00
_cell_angle_beta 90.00
_cell_angle_gamma 90.00
loop_
_atom_site_label
_atom_site_type_symbol
_atom_site_fract_x
_atom_site_fract_y
_atom_site_fract_z
Sc1 Sc 0.0000 0.5000 0.0000
Sc2 Sc 0.5000 0.0000 0.0000
Co1 Co 0.0000 0.0000 0.5000
H1 H 0.5000 0.5000 0.0000
Ru1 Ru 0.5000 0.5000 0.5000
# Space group = No. 123
# Energy above the lowest structure with this stoichiometry = 93.8 meV per atom


(8)
# PBE-GGA Y2InPb, relaxed
data_Y2InPb
_symmetry_space_group_name_H-M 'P 1'
_symmetry_Int_Tables_number 1
_symmetry_space_group_name_Hall 'P 1'
_cell_length_a 7.2139
_cell_length_b 7.2139
_cell_length_c 7.2139
_cell_angle_alpha 152.02
_cell_angle_beta 131.16
_cell_angle_gamma 57.23
loop_
_atom_site_label
_atom_site_type_symbol
_atom_site_fract_x
_atom_site_fract_y
_atom_site_fract_z
Y1 Y 0.2495 0.2495 0.0000
Y2 Y 0.7505 0.7505 0.0000
In1 In 0.0000 0.0000 0.0000
Pb1 Pb 0.5000 0.5000 0.0000
# Space group = No. 71
# Formation enthalpy at 0 K = 0.17 eV/atom


(9)
# PBE-GGA TlCrTeN2, relaxed
data_TlCrTeN2
_symmetry_space_group_name_H-M 'P 1'
_symmetry_Int_Tables_number 1
_symmetry_space_group_name_Hall 'P 1'
_cell_length_a 4.2993
_cell_length_b 4.2993
_cell_length_c 6.5695
_cell_angle_alpha 90.00
_cell_angle_beta 90.00
_cell_angle_gamma 90.00
loop_
_atom_site_label
_atom_site_type_symbol
_atom_site_fract_x
_atom_site_fract_y
_atom_site_fract_z
Tl1 Tl 0.0000 0.0000 0.0000
Cr1 Cr 0.5000 0.5000 0.5000
Te1 Te 0.0000 0.0000 0.5000
N1 N 0.0000 0.5000 0.0000
N2 N 0.5000 0.0000 0.0000
# Space group = No. 123
# E_form (uncorrected) = 1867 meV/atom
# Energy above the lowest structure with this stoichiometry = 1166.2 meV per atom


(10)
# PBE-GGA K2LaPt, relaxed
data_K2LaPt
_symmetry_space_group_name_H-M 'P 1'
_symmetry_Int_Tables_number 1
_symmetry_space_group_name_Hall 'P 1'
_cell_length_a 8.8662
_cell_length_b 8.8662
_cell_length_c 8.8662
_cell_angle_alpha 95.26
_cell_angle_beta 95.26
_cell_angle_gamma 144.75
loop_
_atom_site_label
_atom_site_type_symbol
_atom_site_fract_x
_atom_site_fract_y
_atom_site_fract_z
K1 K 0.3750 0.2464 0.3714
K2 K 0.7536 0.1250 0.1286
K3 K 0.8750 0.0036 0.6286
K4 K 0.9964 0.6250 0.8714
La1 La 0.2500 0.7500 0.5000
La2 La 0.5000 0.5000 0.0000
Pt1 Pt 0.0000 0.0000 0.0000
Pt2 Pt 0.7500 0.2500 0.5000
# Space group = No. 122
# Formation enthalpy at 0 K = 0.02 eV/atom
# Energy above the lowest structure with this stoichiometry = 404.2 meV per atom


(11)
# PBE-GGA GaSbI, relaxed
data_GaSbI
_symmetry_space_group_name_H-M 'P 1'
_symmetry_Int_Tables_number 1
_symmetry_space_group_name_Hall 'P 1'
_cell_length_a 4.1513
_cell_length_b 18.4467
_cell_length_c 6.5731
_cell_angle_alpha 90.00
_cell_angle_beta 101.15
_cell_angle_gamma 90.00
loop_
_atom_site_label
_atom_site_type_symbol
_atom_site_fract_x
_atom_site_fract_y
_atom_site_fract_z
Ga1 Ga 0.2080 0.0278 0.4053
Ga2 Ga 0.2080 0.4722 0.9053
Ga3 Ga 0.7920 0.5278 0.0947
Ga4 Ga 0.7920 0.9722 0.5947
Sb1 Sb 0.2697 0.5513 0.5564
Sb2 Sb 0.2697 0.9487 0.0564
Sb3 Sb 0.7303 0.0513 0.9436
Sb4 Sb 0.7303 0.4487 0.4436
I1 I 0.2427 0.1666 0.4187
I2 I 0.2427 0.3334 0.9187
I3 I 0.7573 0.6666 0.0813
I4 I 0.7573 0.8334 0.5813
# Space group = No. 14
# E_form (uncorrected) = -116 meV/atom
# Energy above the lowest structure with this stoichiometry = 105.1 meV per atom


(12)
# PBE-GGA NaCaSeBr2, relaxed
data_NaCaSeBr2
_symmetry_space_group_name_H-M 'P 1'
_symmetry_Int_Tables_number 1
_symmetry_space_group_name_Hall 'P 1'
_cell_length_a 5.6825
_cell_length_b 5.6825
_cell_length_c 5.6999
_cell_angle_alpha 90.00
_cell_angle_beta 90.00
_cell_angle_gamma 90.00
loop_
_atom_site_label
_atom_site_type_symbol
_atom_site_fract_x
_atom_site_fract_y
_atom_site_fract_z
Na1 Na 0.0000 0.0000 0.0000
Ca1 Ca 0.5000 0.5000 0.5000
Se1 Se 0.5000 0.5000 0.0000
Br1 Br 0.0000 0.5000 0.5000
Br2 Br 0.5000 0.0000 0.5000
# Space group = No. 123
# E_form (uncorrected) = -1196 meV/atom
# Energy above the lowest structure with this stoichiometry = 0.0 meV per atom